Computed, not measured: crystalline BaNdEuWO6 at its relaxed geometry at the PBE+U level of DFT.

a = 6.0042 Å, b = 6.0657 Å, c = 8.5953 Å
α = 90.32°, β = 90.25°, γ = 90.66°
Last column: nearest neighbours and their distance in Å.
Space group P-1 (No. 2)
Asymmetric unit:
Ba  0.0058  0.0311  0.2505 [2 per cell]  7 O 2.69-2.96
Nd  0.0000  0.5000  0.5000 [1 per cell]  6 O 2.35-2.38
Nd  0.5000  0.0000  0.0000 [1 per cell]  6 O 2.35-2.37
Eu  0.4941  0.5383  0.2525 [2 per cell]  4 O 2.49-2.58
W  0.0000  0.5000  0.0000 [1 per cell]  6 O 1.98-2.07
W  0.5000  0.0000  0.5000 [1 per cell]  6 O 1.98-2.08
O  0.0944  0.5048  0.7683 [2 per cell]  1 W 2.07
O  0.1923  0.7613  0.0384 [2 per cell]  1 W 1.98
O  0.2327  0.8100  0.4700 [2 per cell]  1 W 1.98
O  0.2722  0.3089  0.0496 [2 per cell]  1 W 2.06
O  0.3175  0.2799  0.4513 [2 per cell]  1 W 2.08
O  0.4397  0.0444  0.7319 [2 per cell]  1 W 2.04

Calculated values
ρ ... 7.569 g/cm³
E above lowest polymorph ... 0.0 meV per atom
Uncorrected energy ... -0.29946 hartree per atom
Crystal system ... triclinic